Below is a relaxed Li3Tm2ScS6 crystal, with properties calculated at the PBE level.

Summary:
The total energy is -5.644 eV/atom. The formation energy (no corrections) comes out at -2117.2 kJ/mol of formula units.

Unit cell a=6.5915 b=11.4208 c=6.5159 alpha=90.00 beta=109.67 gamma=90.00
With the nearest neighbours (Å) after each atom.
Space group C2/m (No. 12)
Inequivalent atoms, fractional coordinates:
Li 0.0000 0.0000 0.0000 x2  6 S 2.67-2.75
Li 0.0000 0.3365 0.0000 x4  6 S 2.65-2.77
Tm 0.0000 0.1669 0.5000 x4  6 S 2.69
Sc 0.0000 0.5000 0.5000 x2  6 S 2.61-2.62
S 0.2427 0.5000 0.2557 x4  1 Sc 2.61, 3 Li 2.65-2.75, 2 Tm 2.69
S 0.2438 0.3380 0.7460 x8  1 Sc 2.62, 3 Li 2.67-2.77, 2 Tm 2.69



Below is a relaxed TcAs2CSe crystal, with properties calculated at the PBE level.

Summary:
As for the energy relative to the lowest polymorph listed for this composition: 0.460 eV/atom. The total energy is -4.774 eV/atom. The formation energy (no corrections) comes out at 820.4 kJ/mol of formula units.

Unit cell a=4.7984 b=4.7984 c=4.8296 alpha=90.00 beta=90.00 gamma=90.00
With the nearest neighbours (Å) after each atom.
Space group P4/mmm (No. 123)
Inequivalent atoms, fractional coordinates:
Tc 0.0000 0.0000 0.0000 x1  4 As 2.40, 2 Se 2.41
As 0.0000 0.5000 0.0000 x2  2 Tc 2.40
C 0.5000 0.5000 0.5000 x1  4 Se 3.39, 8 As 3.40
Se 0.0000 0.0000 0.5000 x1  2 Tc 2.41



Below is a relaxed Al2ZnSe crystal, with properties calculated at the PBE level.

Summary:
As for the energy relative to the lowest polymorph listed for this composition: 0.174 eV/atom. The total energy is -3.010 eV/atom. The formation energy (no corrections) comes out at 19.8 kJ/mol of formula units.

Unit cell a=3.3489 b=4.5509 c=9.7924 alpha=90.00 beta=90.00 gamma=90.00
With the nearest neighbours (Å) after each atom.
Space group Immm (No. 71)
Inequivalent atoms, fractional coordinates:
Al 0.0000 0.0000 0.2232 x4  2 Se 2.75, 4 Al 2.87
Zn 0.0000 0.5000 0.0000 x2  4 Se 2.83, 4 Al 3.15
Se 0.0000 0.5000 0.5000 x2  4 Al 2.75, 4 Zn 2.83



Below is a relaxed BaGeHRh crystal, with properties calculated at the PBE level.

Summary:
The total energy is -4.966 eV/atom.

Unit cell a=4.2426 b=4.2426 c=9.3579 alpha=90.00 beta=90.00 gamma=90.00
With the nearest neighbours (Å) after each atom.
Space group P4/nmm (No. 129, origin choice 2)
Inequivalent atoms, fractional coordinates:
Ba 0.2500 0.2500 0.1649 x2  4 H 2.62
Ge 0.2500 0.2500 0.6350 x2  4 Rh 2.47
H 0.2500 0.7500 0.0000 x2  4 Ba 2.62
Rh 0.2500 0.7500 0.5000 x2  4 Ge 2.47



Below is a relaxed Sb2PdRh3 crystal, with properties calculated at the PBE level.

Summary:
The total energy is -6.137 eV/atom. The formation energy (no corrections) comes out at -128.6 kJ/mol of formula units.

Unit cell a=7.2586 b=10.9909 c=5.7811 alpha=90.00 beta=90.00 gamma=90.00
With the nearest neighbours (Å) after each atom.
Space group Ibam (No. 72)
Inequivalent atoms, fractional coordinates:
Sb 0.2130 0.1400 0.0000 x8  6 Rh 2.59-2.70, 1 Pd 2.59
Pd 0.0000 0.5000 0.0000 x4  2 Sb 2.59, 4 Rh 2.86, 2 Pd 2.89
Rh 0.0000 0.0000 0.2500 x4  4 Sb 2.62, 2 Rh 2.89
Rh 0.0000 0.2757 0.2500 x8  4 Sb 2.59-2.70, 2 Pd 2.86, 2 Rh 2.89



Below is a relaxed Nb2AgSbOs crystal, with properties calculated at the PBE level.

Summary:
The total energy is -6.676 eV/atom. The formation energy (no corrections) comes out at 479.0 kJ/mol of formula units.

Unit cell a=4.8252 b=4.8252 c=5.1240 alpha=90.00 beta=90.00 gamma=90.00
With the nearest neighbours (Å) after each atom.
Space group P4/mmm (No. 123)
Inequivalent atoms, fractional coordinates:
Nb 0.0000 0.5000 0.0000 x2  2 Os 2.41
Ag 0.0000 0.0000 0.5000 x1  2 Os 2.56
Sb 0.5000 0.5000 0.5000 x1  4 Ag 3.41, 8 Nb 3.52
Os 0.0000 0.0000 0.0000 x1  4 Nb 2.41, 2 Ag 2.56



Below is a relaxed Tb2NdDy2Ho crystal, with properties calculated at the PBE level.

Summary:
The total energy is -4.362 eV/atom. The calculated formation energy is 26.4 kJ per mole of atoms.

Unit cell a=6.5484 b=17.8102 c=3.3971 alpha=90.00 beta=90.00 gamma=90.00
With the nearest neighbours (Å) after each atom.
Space group Pnnm (No. 58)
Inequivalent atoms, fractional coordinates:
Tb 0.2241 0.1855 0.0000 x4  4 Dy 3.32-3.42, 2 Tb 3.40, 1 Nd 3.62
Nd 0.0000 0.0000 0.0000 x2  2 Dy 3.21, 2 Nd 3.40
Dy 0.2210 0.3520 0.5000 x4  1 Nd 3.21, 4 Tb 3.32-3.42, 2 Dy 3.40, 2 Ho 3.45
Ho 0.0000 0.5000 0.0000 x2  2 Ho 3.40, 4 Dy 3.45, 4 Nd 3.69



Below is a relaxed PSeI2O crystal, with properties calculated at the PBE level.

Summary:
As for the energy relative to the lowest polymorph listed for this composition: 0.000 eV/atom. The total energy is -3.248 eV/atom. The formation energy (no corrections) comes out at 68.5 kJ/mol of formula units.

Unit cell a=5.7523 b=5.7523 c=3.5057 alpha=90.00 beta=90.00 gamma=90.00
With the nearest neighbours (Å) after each atom.
Space group P4/mmm (No. 123)
Inequivalent atoms, fractional coordinates:
P 0.0000 0.0000 0.0000 x1  2 O 1.75
Se 0.5000 0.5000 0.5000 x1  8 I 3.37, 2 Se 3.51
I 0.0000 0.5000 0.0000 x2  2 P 2.88
O 0.0000 0.0000 0.5000 x1  2 P 1.75



Below is a relaxed Ti3VZn crystal, with properties calculated at the PBE level.

Summary:
As for the energy relative to the lowest polymorph listed for this composition: 0.999 eV/atom. The total energy is -5.826 eV/atom. The calculated formation energy is 95.5 kJ per mole of atoms.

Unit cell a=4.6607 b=4.6607 c=4.6607 alpha=90.00 beta=90.00 gamma=90.00
With the nearest neighbours (Å) after each atom.
Space group Pm-3m (No. 221)
Inequivalent atoms, fractional coordinates:
Ti 0.0000 0.0000 0.5000 x3  2 Zn 2.33
V 0.5000 0.5000 0.5000 x1  12 Ti 3.30
Zn 0.0000 0.0000 0.0000 x1  6 Ti 2.33



Below is a relaxed Ca2InRh crystal, with properties calculated at the PBE level.

Summary:
The total energy is -3.911 eV/atom. The calculated formation energy is -37.4 kJ per mole of atoms.

Unit cell a=4.3942 b=4.3457 c=11.2057 alpha=90.00 beta=90.00 gamma=90.00
With the nearest neighbours (Å) after each atom.
Space group Amm2 (No. 38)
Inequivalent atoms, fractional coordinates:
Ca 0.0000 0.0000 0.0000 x2  3 Rh 3.15-3.28, 4 In 3.23
Ca 0.5000 0.0000 0.2897 x2  3 In 3.17-3.29, 4 Rh 3.19
In 0.5000 0.0000 0.5833 x2  2 Rh 2.67
Rh 0.0000 0.0000 0.7188 x2  2 In 2.67



Below is a relaxed KLiCd2 crystal, with properties calculated at the PBE level.

Summary:
As for the energy relative to the lowest polymorph listed for this composition: 0.000 eV/atom. The total energy is -1.322 eV/atom. The calculated formation energy is -10.8 kJ per mole of atoms.

Unit cell a=8.5241 b=4.9418 c=6.9268 alpha=90.00 beta=115.57 gamma=90.00
With the nearest neighbours (Å) after each atom.
Space group Cm (No. 8)
Inequivalent atoms, fractional coordinates:
K 0.0000 0.0000 0.0000 x2  1 Li 3.41, 1 Cd 3.57
Li 0.3172 0.5000 0.4548 x2  6 Cd 2.88-2.95
Cd 0.0065 0.5000 0.5206 x2  3 Cd 2.86-2.87, 3 Li 2.88
Cd 0.1905 0.0000 0.5716 x2  3 Cd 2.86-2.87, 3 Li 2.93-2.95



Below is a relaxed Tb4RhSe2S crystal, with properties calculated at the PBE level.

Summary:
The total energy is -6.193 eV/atom. The formation energy (no corrections) comes out at -1213.4 kJ/mol of formula units.

Unit cell a=7.0893 b=3.9873 c=7.1307 alpha=90.00 beta=108.83 gamma=90.00
With the nearest neighbours (Å) after each atom.
Space group P2/m (No. 10)
Inequivalent atoms, fractional coordinates:
Tb 0.2356 0.0000 0.2268 x2  2 Rh 2.76, 1 S 2.84, 3 Se 2.95-2.99
Tb 0.2535 0.5000 0.7669 x2  2 S 2.81, 1 Rh 2.81, 3 Se 2.94-2.97
Rh 0.0000 0.5000 0.0000 x1  6 Tb 2.76-2.81
Se 0.0000 0.0000 0.5000 x1  6 Tb 2.94-2.95
Se 0.5000 0.5000 0.5000 x1  6 Tb 2.97-2.99
S 0.5000 0.0000 0.0000 x1  6 Tb 2.81-2.84



What is the formula in the first record?
Li3Tm2ScS6